## Sc4Ga2CuPd (PBE)

Data for a relaxed structure of Sc4Ga2CuPd.

DOS(E_F)	0.571	states/eV per atom
SG	R-3m
energy of formation from the pure elements	-611	meV per atom

Lattice parameters (Å, degrees): 4.7089 4.7089 8.1657 73.24 73.24 60.00
Closest atoms and distances in Å follow each position.
Positions (direct):
Sc  0.3757  0.3757  0.8730  1 Cu 2.87, 4 Ga 2.89-2.93, 3 Pd 2.89
Sc  0.8741  0.8741  0.3776  4 Ga 2.84-2.88, 3 Cu 2.88, 1 Pd 2.91
Sc  0.1259  0.1259  0.6224  4 Ga 2.84-2.88, 3 Cu 2.88, 1 Pd 2.91
Sc  0.6243  0.6243  0.1270  1 Cu 2.87, 4 Ga 2.89-2.93, 3 Pd 2.89
Ga  0.7510  0.7510  0.7469  8 Sc 2.84-2.93
Ga  0.2490  0.2490  0.2531  8 Sc 2.84-2.93
Cu  0.5000  0.5000  0.5000  8 Sc 2.87-2.88
Pd  0.0000  0.0000  0.0000  8 Sc 2.89-2.91


## Sr2LaPrSe4 (PBE)

Data for a relaxed structure of Sr2LaPrSe4.

DOS(E_F)	0.490	states/eV per atom
energy relative to the elements, uncorrected	-188.84	kJ per mole of atoms
SG	P2/m

Lattice parameters (Å, degrees): 4.3270 7.6416 7.4896 70.93 90.00 90.00
Closest atoms and distances in Å follow each position.
Positions (direct):
Sr  0.0000  0.0000  0.0000  6 Se 3.11
Sr  0.5000  0.0000  0.5000  6 Se 3.10
La  0.5000  0.5000  0.0000  6 Se 3.06
Pr  0.0000  0.5000  0.5000  6 Se 3.05-3.06
Se  0.0000  0.7449  0.7506  1 Pr 3.05, 2 La 3.06, 3 Sr 3.10-3.11
Se  0.0000  0.2551  0.2494  1 Pr 3.05, 2 La 3.06, 3 Sr 3.10-3.11
Se  0.5000  0.7443  0.2526  2 Pr 3.06, 1 La 3.06, 3 Sr 3.10-3.11
Se  0.5000  0.2557  0.7474  2 Pr 3.06, 1 La 3.06, 3 Sr 3.10-3.11


## SmDy5Sb4 (PBE)

Data for a relaxed structure of SmDy5Sb4.

DOS(E_F)	0.546	states/eV per atom
energy relative to the elements, uncorrected	-70.33	kJ per mole of atoms
SG	C2/m

Lattice parameters (Å, degrees): 4.3276 8.4664 9.6122 105.71 103.01 90.00
Closest atoms and distances in Å follow each position.
Positions (direct):
Sm  0.5000  0.0000  0.0000  6 Sb 3.07-3.09
Dy  0.8218  0.6505  0.6437  3 Sb 3.04-3.07
Dy  0.8384  0.1751  0.6769  4 Sb 3.01-3.08
Dy  0.1616  0.8249  0.3231  4 Sb 3.01-3.08
Dy  0.5000  0.5000  0.0000  4 Sb 2.99
Dy  0.1782  0.3495  0.3563  3 Sb 3.04-3.07
Sb  0.3284  0.9106  0.6569  5 Dy 3.01-3.08, 1 Sm 3.09
Sb  0.9908  0.7375  0.9817  4 Dy 2.99-3.08, 2 Sm 3.07
Sb  0.6716  0.0894  0.3431  5 Dy 3.01-3.08, 1 Sm 3.09
Sb  0.0092  0.2625  0.0183  4 Dy 2.99-3.08, 2 Sm 3.07


## MnRh2Br (PBE)

Data for a relaxed structure of MnRh2Br.

DOS(E_F)	1.227	states/eV per atom
energy relative to the elements, uncorrected	39.79	kJ per mole of atoms
SG	P2/m

Lattice parameters (Å, degrees): 3.0723 4.9748 5.4738 50.15 90.00 90.00
Closest atoms and distances in Å follow each position.
Positions (direct):
Br  0.5000  0.5000  0.5000  6 Rh 2.70-2.74, 4 Mn 2.92
Mn  0.0000  0.0000  0.5000  6 Rh 2.70-2.74, 4 Br 2.92
Rh  0.0000  0.0000  0.0000  4 Br 2.70, 2 Mn 2.74, 4 Rh 2.92
Rh  0.5000  0.5000  0.0000  4 Mn 2.70, 2 Br 2.74, 4 Rh 2.92


## NaLaH3 (PBE)

Data for a relaxed structure of NaLaH3.

DOS(E_F)	0.327	states/eV per atom
SG	Pm-3m
total energy	-0.2536	Ry per atom

Lattice parameters (Å, degrees): 4.5704 4.5704 4.5704 90.00 90.00 90.00
Closest atoms and distances in Å follow each position.
Positions (direct):
Na  0.5000  0.5000  0.5000  12 H 3.23
H  0.0000  0.5000  0.0000  2 La 2.29
H  0.0000  0.0000  0.5000  2 La 2.29
H  0.5000  0.0000  0.0000  2 La 2.29
La  0.0000  0.0000  0.0000  6 H 2.29


## CdSn2F (PBE)

Data for a relaxed structure of CdSn2F.

DOS(E_F)	0.695	states/eV per atom
energy relative to the elements, uncorrected	-51.98	kJ per mole of atoms
SG	Fm-3m

Lattice parameters (Å, degrees): 4.9370 4.9370 4.9370 60.00 60.00 60.00
Closest atoms and distances in Å follow each position.
Positions (direct):
F  0.0000  0.0000  0.0000  8 Sn 3.02
Sn  0.2500  0.2500  0.2500  4 Cd 3.02, 4 F 3.02
Sn  0.7500  0.7500  0.7500  4 Cd 3.02, 4 F 3.02
Cd  0.5000  0.5000  0.5000  8 Sn 3.02


## KSrGa2B (PBE)

Data for a relaxed structure of KSrGa2B.

DOS(E_F)	0.291	states/eV per atom
SG	P4/mmm
energy of formation from the pure elements	472	meV per atom

Lattice parameters (Å, degrees): 4.6596 5.4671 4.6596 90.00 90.00 90.00
Closest atoms and distances in Å follow each position.
Positions (direct):
Sr  0.5000  0.5000  0.5000  4 K 3.29, 8 Ga 3.59
K  0.0000  0.5000  0.0000  2 B 2.73
B  0.0000  0.0000  0.0000  4 Ga 2.33
Ga  0.0000  0.0000  0.5000  2 B 2.33
Ga  0.5000  0.0000  0.0000  2 B 2.33


## Be2SiPb (PBE)

Data for a relaxed structure of Be2SiPb.

DOS(E_F)	0.658	states/eV per atom
energy relative to the elements, uncorrected	98.38	kJ per mole of atoms
SG	F-43m

Lattice parameters (Å, degrees): 4.6338 4.6338 4.6338 60.00 60.00 60.00
Closest atoms and distances in Å follow each position.
Positions (direct):
Pb  0.5000  0.5000  0.5000  4 Si 2.84, 4 Be 2.84
Be  0.0000  0.0000  0.0000  4 Be 2.84, 4 Si 2.84
Be  0.2500  0.2500  0.2500  4 Pb 2.84, 4 Be 2.84
Si  0.7500  0.7500  0.7500  4 Pb 2.84, 4 Be 2.84


## Th4CoIrS2 (PBE)

Data for a relaxed structure of Th4CoIrS2.

DOS(E_F)	1.028	states/eV per atom
energy relative to the elements, uncorrected	-113.41	kJ per mole of atoms
SG	P2/m

Lattice parameters (Å, degrees): 4.0499 7.4264 6.9593 72.34 90.00 90.00
Closest atoms and distances in Å follow each position.
Positions (direct):
Th  0.0000  0.7276  0.7474  1 Co 2.75, 2 Ir 2.87, 3 S 3.01-3.06
Th  0.0000  0.2724  0.2526  1 Co 2.75, 2 Ir 2.87, 3 S 3.01-3.06
Th  0.5000  0.7246  0.2626  2 Co 2.82, 1 Ir 2.82, 3 S 2.99-3.06
Th  0.5000  0.2754  0.7374  2 Co 2.82, 1 Ir 2.82, 3 S 2.99-3.06
Co  0.0000  0.5000  0.5000  6 Th 2.75-2.82
Ir  0.5000  0.5000  0.0000  6 Th 2.82-2.87
S  0.0000  0.0000  0.0000  6 Th 3.06
S  0.5000  0.0000  0.5000  6 Th 2.99-3.01


## Ac8Si3AsBr4 (PBE)

Data for a relaxed structure of Ac8Si3AsBr4.

DOS(E_F)	0.597	states/eV per atom
energy relative to the elements, uncorrected	-111.04	kJ per mole of atoms
SG	R-3m

Lattice parameters (Å, degrees): 9.1283 9.2556 9.1282 119.55 120.00 90.00
Closest atoms and distances in Å follow each position.
Positions (direct):
Ac  0.2405  0.7144  0.9739  2 Si 3.08, 1 As 3.13, 3 Br 3.39-3.43
Ac  0.2405  0.7145  0.4811  2 Si 3.08, 1 As 3.13, 3 Br 3.39-3.43
Ac  0.2620  0.2858  0.5239  3 Si 3.10, 3 Br 3.42
Ac  0.7335  0.7144  0.9739  2 Si 3.08, 1 As 3.13, 3 Br 3.39-3.43
Ac  0.2665  0.2856  0.0261  2 Si 3.08, 1 As 3.13, 3 Br 3.39-3.43
Ac  0.7380  0.7142  0.4761  3 Si 3.10, 3 Br 3.42
Ac  0.7595  0.2855  0.5189  2 Si 3.08, 1 As 3.13, 3 Br 3.39-3.43
Ac  0.7595  0.2856  0.0261  2 Si 3.08, 1 As 3.13, 3 Br 3.39-3.43
Si  0.5000  0.5000  0.0000  6 Ac 3.08-3.10
Si  0.5000  0.5000  0.5000  6 Ac 3.08-3.10
Si  0.0000  0.5000  0.5000  6 Ac 3.08-3.10
As  0.0000  0.5000  0.0000  6 Ac 3.13
Br  0.5000  0.0000  0.0000  6 Ac 3.39
Br  0.5000  0.0000  0.5000  6 Ac 3.42-3.43
Br  0.0000  0.0000  0.0000  6 Ac 3.42-3.43
Br  0.0000  0.0000  0.5000  6 Ac 3.42-3.43


## Sb2WCl (PBE)

Data for a relaxed structure of Sb2WCl.

DOS(E_F)	0.900	states/eV per atom
energy relative to the elements, uncorrected	38.65	kJ per mole of atoms
SG	P4mm

Lattice parameters (Å, degrees): 3.0798 3.0798 11.1726 90.00 90.00 90.00
Closest atoms and distances in Å follow each position.
Positions (direct):
Cl  0.5000  0.5000  0.6476  4 W 2.66
Sb  0.0000  0.0000  0.9991  4 Sb 3.08
Sb  0.5000  0.5000  0.3422  4 W 2.88, 4 Sb 3.08
W  0.0000  0.0000  0.5110  4 Cl 2.66, 4 Sb 2.88


## LaNb3I (PBE)

Data for a relaxed structure of LaNb3I.

DOS(E_F)	1.954	states/eV per atom
energy relative to the elements, uncorrected	188.48	kJ per mole of atoms
SG	Pm-3m

Lattice parameters (Å, degrees): 5.0432 5.0432 5.0432 90.00 90.00 90.00
Closest atoms and distances in Å follow each position.
Positions (direct):
I  0.5000  0.5000  0.5000  12 Nb 3.57
Nb  0.0000  0.5000  0.0000  2 La 2.52
Nb  0.0000  0.0000  0.5000  2 La 2.52
Nb  0.5000  0.0000  0.0000  2 La 2.52
La  0.0000  0.0000  0.0000  6 Nb 2.52